[1]
Compound: Ho3Te3C
Source: the Alexandria database
Functional: PBE
Structure: relaxed Values from VASP.

Computed properties:
E_tot   -5.5517 eV per atom
Formation energy from raw total energies   -6.479 eV per formula unit
Density of states at the Fermi level   4.34 states/eV/f.u.

Quantum ESPRESSO input file:
```
&SYSTEM
  ibrav = 0, nat = 14, ntyp = 3
/
ATOMIC_SPECIES
Ho 164.93 Ho.upf
Te 127.60 Te.upf
C 12.01 C.upf
ATOMIC_POSITIONS angstrom
Ho 0.216 0.000 2.456
Ho 1.131 1.789 5.776
Ho 1.131 -1.789 5.776
Ho 5.562 1.789 1.624
Ho 5.562 -1.789 1.624
Ho 6.477 0.000 4.945
Te 4.232 4.146 0.000
Te 3.346 2.972 3.700
Te 3.032 0.000 1.130
Te 3.661 0.000 6.270
Te 3.346 -2.972 3.700
Te 4.232 -4.146 0.000
C 0.287 0.000 4.753
C 6.406 0.000 2.647
CELL_PARAMETERS angstrom
4.232 -6.219 0.000
4.232 6.219 0.000
-1.771 0.000 7.400
```


[2]
Compound: Tm5TlHg6
Source: the Alexandria database
Functional: PBE
Structure: relaxed Values from VASP.

Computed properties:
E_tot   -2.6145 eV per atom
Formation enthalpy at 0 K   -4.839 eV per formula unit
Density of states at the Fermi level   7.90 states/eV/f.u.

Quantum ESPRESSO input file:
```
&SYSTEM
  ibrav = 0, nat = 12, ntyp = 3
/
ATOMIC_SPECIES
Tm 168.93 Tm.upf
Tl 204.38 Tl.upf
Hg 200.59 Hg.upf
ATOMIC_POSITIONS angstrom
Tm 0.000 0.000 0.000
Tm 1.770 0.000 3.274
Tm 5.171 0.000 1.700
Tm 9.612 0.000 3.163
Tm 13.013 0.000 1.590
Tl 8.181 0.000 0.000
Hg 4.024 1.963 4.012
Hg 7.392 2.045 2.432
Hg 10.760 1.963 0.851
Hg 4.024 -1.963 4.012
Hg 7.392 -2.045 2.432
Hg 10.760 -1.963 0.851
CELL_PARAMETERS angstrom
8.181 -3.749 0.000
8.181 3.749 0.000
-1.579 0.000 4.863
```


[3]
Compound: Co2SiAg
Source: the Alexandria database
Functional: PBE
Structure: relaxed Values from VASP.

Computed properties:
E_tot   -5.4649 eV per atom
Formation energy from raw total energies   0.626 eV per formula unit
Density of states at the Fermi level   3.15 states/eV/f.u.

Quantum ESPRESSO input file:
```
&SYSTEM
  ibrav = 0, nat = 4, ntyp = 3
/
ATOMIC_SPECIES
Co 58.93 Co.upf
Si 28.09 Si.upf
Ag 107.87 Ag.upf
ATOMIC_POSITIONS angstrom
Co 0.000 0.000 0.000
Co 0.000 1.971 4.012
Si -0.010 1.971 1.089
Ag 1.352 0.000 2.407
CELL_PARAMETERS angstrom
2.709 0.000 0.000
0.000 3.943 0.000
-1.349 0.000 4.943
```


[4]
Compound: YFe2Co
Source: the Alexandria database
Functional: PBE
Structure: relaxed Values from VASP.

Computed properties:
E_tot   -7.4691 eV per atom
Formation enthalpy at 0 K   0.619 eV per formula unit
Density of states at the Fermi level   5.60 states/eV/f.u.

Quantum ESPRESSO input file:
```
&SYSTEM
  ibrav = 0, nat = 4, ntyp = 3
/
ATOMIC_SPECIES
Y 88.91 Y.upf
Fe 55.84 Fe.upf
Co 58.93 Co.upf
ATOMIC_POSITIONS angstrom
Y 0.000 0.000 0.000
Fe -0.005 0.000 3.160
Fe 1.554 1.560 4.390
Co 1.563 1.560 1.948
CELL_PARAMETERS angstrom
3.129 0.000 0.000
0.000 3.120 0.000
-0.013 0.000 6.366
```


[5]
Compound: IrPbNO2
Source: the Alexandria database
Functional: PBE
Structure: relaxed Values from VASP.

Computed properties:
E_tot   -6.3333 eV per atom
Formation energy from raw total energies   -0.856 eV per formula unit
Density of states at the Fermi level   1.89 states/eV/f.u.

Quantum ESPRESSO input file:
```
&SYSTEM
  ibrav = 0, nat = 5, ntyp = 4
/
ATOMIC_SPECIES
Ir 192.22 Ir.upf
Pb 207.20 Pb.upf
N 14.01 N.upf
O 16.00 O.upf
ATOMIC_POSITIONS angstrom
Ir 0.000 0.000 0.000
Pb 2.118 2.118 1.879
N 0.000 0.000 1.879
O 0.000 2.118 0.000
O 2.118 0.000 0.000
CELL_PARAMETERS angstrom
4.235 0.000 0.000
0.000 4.235 0.000
0.000 0.000 3.757
```


[6]
Compound: TlCuSn
Source: the Alexandria database
Functional: PBE
Structure: relaxed Values from VASP.

Computed properties:
E_tot   -3.4289 eV per atom
Formation enthalpy at 0 K   0.179 eV per formula unit
Density of states at the Fermi level   0.92 states/eV/f.u.

Quantum ESPRESSO input file:
```
&SYSTEM
  ibrav = 0, nat = 6, ntyp = 3
/
ATOMIC_SPECIES
Tl 204.38 Tl.upf
Cu 63.55 Cu.upf
Sn 118.71 Sn.upf
ATOMIC_POSITIONS angstrom
Tl -0.006 1.373 1.552
Tl 2.281 1.374 4.190
Cu -0.010 4.118 2.259
Cu 2.284 -1.371 3.482
Sn 0.004 -1.372 4.934
Sn 2.271 4.119 0.808
CELL_PARAMETERS angstrom
4.562 0.000 0.000
-0.016 5.491 0.000
-2.272 -2.744 5.741
```


[7]
Compound: Mn2CrSb
Source: the Alexandria database
Functional: PBE
Structure: relaxed Values from VASP.

Computed properties:
E_tot   -7.7490 eV per atom
Formation energy from raw total energies   1.089 eV per formula unit
Density of states at the Fermi level   3.09 states/eV/f.u.

Quantum ESPRESSO input file:
```
&SYSTEM
  ibrav = 0, nat = 4, ntyp = 3
/
ATOMIC_SPECIES
Mn 54.94 Mn.upf
Cr 52.00 Cr.upf
Sb 121.76 Sb.upf
ATOMIC_POSITIONS angstrom
Mn 0.000 0.000 0.000
Mn 1.689 1.689 1.343
Cr 1.689 1.689 4.388
Sb 0.000 0.000 2.696
CELL_PARAMETERS angstrom
3.377 0.000 0.000
0.000 3.377 0.000
0.000 0.000 5.445
```